1.
## SrTc2C3 (PBE)

Data for a relaxed SrTc2C3 crystal.

Properties
- crystal system = orthorhombic

a b c (Å): 5.3982 8.1881 6.2948
angles (deg): 130.57 90.00 90.00
Sites, in units of the cell vectors:
C1 0.2500 0.0852 0.1704
C2 0.7500 0.9148 0.8296
C3 0.2500 0.2108 0.8277
C4 0.7500 0.3831 0.1723
C5 0.7500 0.7892 0.1723
C6 0.2500 0.6169 0.8277
Sr1 0.7500 0.3260 0.6519
Sr2 0.2500 0.6740 0.3481
Tc1 0.0000 0.1638 0.0000
Tc2 0.0000 0.8362 0.0000
Tc3 0.5000 0.8362 0.0000
Tc4 0.5000 0.1638 0.0000

=====

2.
## Rb2CuGeRh (PBE)

Data for a relaxed Rb2CuGeRh crystal.

Properties
- crystal system = tetragonal

a b c (Å): 6.4111 4.6629 6.4111
angles (deg): 90.00 90.00 90.00
Sites, in units of the cell vectors:
Rb1 0.5000 0.0000 0.0000
Rb2 0.0000 0.0000 0.5000
Ge1 0.0000 0.5000 0.0000
Cu1 0.5000 0.5000 0.5000
Rh1 0.0000 0.0000 0.0000

=====

Values of size of the total moment, in order: 0.00 0.00, all in μB per formula unit.
Values of ΔE_f, in order: 289 238, all in kJ/mol of formula units.